No. 1
First-principles (GGA-PBE) data for a relaxed structure of Sr5Hg3, as listed in the Alexandria database.

Output
- Energy above the lowest structure with this stoichiometry: 0.23 eV per formula unit
- Mass density: 5.6 g cm⁻³
- E_form: -393 meV per atom
- Symmetry: No. 12
- Raw total energy: -1.558 eV per atom

a b c (Å): 9.960 9.960 9.230
angles (deg): 95.21 95.21 135.92
Element x y z (fractional)
1 Sr 0.025 0.648 0.794
2 Sr 0.180 0.394 0.628
3 Sr 0.256 0.256 0.020
4 Sr 0.352 0.975 0.206
5 Sr 0.394 0.180 0.628
6 Sr 0.606 0.820 0.372
7 Sr 0.648 0.025 0.794
8 Sr 0.744 0.744 0.980
9 Sr 0.820 0.606 0.372
10 Sr 0.975 0.352 0.206
11 Hg 0.077 0.077 0.316
12 Hg 0.251 0.749 0.500
13 Hg 0.344 0.656 0.000
14 Hg 0.656 0.344 0.000
15 Hg 0.749 0.251 0.500
16 Hg 0.923 0.923 0.684

***

No. 2
First-principles (GGA-PBE) data for a relaxed structure of ErIn2GaBr6, as listed in the Alexandria database.

Output
- E_form (uncorrected): -1119 meV/atom
- Mass density: 4.2 g cm⁻³
- Symmetry: No. 146
- Raw total energy: -3.429 eV per atom

a b c (Å): 8.184 8.184 8.184
angles (deg): 58.45 58.45 58.45
Element x y z (fractional)
1 Er 0.000 0.000 0.000
2 In 0.300 0.300 0.300
3 In 0.792 0.792 0.792
4 Ga 0.508 0.508 0.508
5 Br 0.141 0.326 0.753
6 Br 0.211 0.868 0.663
7 Br 0.326 0.753 0.141
8 Br 0.663 0.211 0.868
9 Br 0.753 0.141 0.326
10 Br 0.868 0.663 0.211

***

No. 3
First-principles (GGA-PBE) data for a relaxed structure of Pr3Zn9Sn2, as listed in the Alexandria database.

Output
- Mass density: 7.1 g cm⁻³
- E_form: -358 meV per atom
- Symmetry: No. 71
- Raw total energy: -2.773 eV per atom

a b c (Å): 8.560 8.560 8.560
angles (deg): 150.12 108.53 79.34
Element x y z (fractional)
1 Pr 0.000 0.000 0.000
2 Pr 0.309 0.309 0.000
3 Pr 0.691 0.691 0.000
4 Zn 0.040 0.666 0.374
5 Zn 0.113 0.848 0.265
6 Zn 0.292 0.666 0.626
7 Zn 0.418 0.152 0.265
8 Zn 0.500 0.000 0.500
9 Zn 0.582 0.848 0.735
10 Zn 0.708 0.334 0.374
11 Zn 0.887 0.152 0.735
12 Zn 0.960 0.334 0.626
13 Sn 0.286 0.500 0.786
14 Sn 0.714 0.500 0.214